A plane-wave DFT calculation with PBE was carried out for crystalline CaMn2Ir at its relaxed geometry.

Cell lengths 5.545, 5.545, 5.545 Å; angles 145.93, 131.04, 61.00 degrees
Last column: magnetic moment on the atom in μB.
Fractional coordinates of all 4 atoms:
Mn1 0.030 0.030 0.000  3.38
Mn2 0.760 0.260 0.500  3.74
Ir1 0.230 0.730 0.500  0.31
Ca1 0.481 0.481 0.000  -0.04

Computed properties:
The final energy is -7.007 eV/atom. The calculation puts the formation energy at 1.17 eV/f.u. The value obtained for the density of states at the Fermi level is 1.063 states/eV per atom.

=====

A plane-wave DFT calculation with PBE was carried out for crystalline Ca2MnIr at its relaxed geometry.

Cell lengths 4.118, 4.406, 5.879 Å; angles 67.98, 90.00, 90.00 degrees
Last column: magnetic moment on the atom in μB.
Fractional coordinates of all 4 atoms:
Mn1 0.500 0.566 0.743  3.51
Ca1 0.000 0.983 0.910  0.00
Ca2 0.500 0.265 0.346  0.01
Ir1 0.000 0.687 0.502  0.29

Computed properties:
The final energy is -5.560 eV/atom. The calculation puts the formation energy at -0.20 eV/f.u. The value obtained for the density of states at the Fermi level is 0.828 states/eV per atom. The energy above the most stable polymorph in this dataset comes out at 0.0 meV/atom.

=====

A plane-wave DFT calculation with PBE was carried out for crystalline Ca2MnIr at its relaxed geometry.

Cell lengths 3.404, 3.402, 7.939 Å; angles 90.00, 90.00, 90.00 degrees
Last column: magnetic moment on the atom in μB.
Fractional coordinates of all 4 atoms:
Mn1 0.500 0.500 0.750  3.98
Ca1 0.000 0.000 0.464  -0.03
Ca2 0.000 0.000 0.036  -0.03
Ir1 0.500 0.500 0.250  0.04

Computed properties:
The final energy is -5.339 eV/atom. The calculation puts the formation energy at 0.68 eV/f.u. The value obtained for the density of states at the Fermi level is 0.802 states/eV per atom. The energy above the most stable polymorph in this dataset comes out at 220.6 meV/atom.

=====

A plane-wave DFT calculation with PBE was carried out for crystalline Ca3MnIr at its relaxed geometry.

Cell lengths 5.460, 5.460, 5.460 Å; angles 90.00, 90.00, 90.00 degrees
Last column: magnetic moment on the atom in μB.
Fractional coordinates of all 5 atoms:
Mn1 0.500 0.500 0.500  -4.32
Ca1 0.500 0.000 0.000  0.02
Ca2 0.000 0.000 0.500  0.02
Ca3 0.000 0.500 0.000  0.02
Ir1 0.000 0.000 0.000  -0.04

Computed properties:
The final energy is -4.580 eV/atom. The calculation puts the formation energy at 1.14 eV/f.u. The value obtained for the density of states at the Fermi level is 0.874 states/eV per atom. The energy above the most stable polymorph in this dataset comes out at 0.0 meV/atom.

=====

A plane-wave DFT calculation with PBE was carried out for crystalline CaMn2Ir at its relaxed geometry.

Cell lengths 4.494, 4.494, 5.314 Å; angles 75.23, 75.23, 46.79 degrees
Fractional coordinates of all 4 atoms:
Mn1 0.527 0.527 0.342
Mn2 0.973 0.973 0.158
Ca1 0.750 0.750 0.750
Ir1 0.250 0.250 0.250

Computed properties:
The final energy is -7.040 eV/atom. The calculation puts the formation energy at 1.04 eV/f.u. The value obtained for the density of states at the Fermi level is 0.902 states/eV per atom.

=====

A plane-wave DFT calculation with PBE was carried out for crystalline CaMn4Ir at its relaxed geometry.

Cell lengths 4.894, 4.894, 4.894 Å; angles 60.00, 60.00, 60.00 degrees
Last column: magnetic moment on the atom in μB.
Fractional coordinates of all 6 atoms:
Mn1 0.375 0.876 0.375  1.30
Mn2 0.375 0.375 0.876  1.30
Mn3 0.375 0.375 0.375  1.30
Mn4 0.876 0.375 0.375  1.30
Ir1 0.000 0.000 0.000  0.15
Ca1 0.750 0.750 0.750  0.00

Computed properties:
The final energy is -7.593 eV/atom. The calculation puts the formation energy at 1.98 eV/f.u. The value obtained for the density of states at the Fermi level is 1.604 states/eV per atom.

=====

A plane-wave DFT calculation with PBE was carried out for crystalline CaMn2Ir at its relaxed geometry.

Cell lengths 4.223, 2.716, 5.982 Å; angles 74.97, 90.00, 90.00 degrees
Fractional coordinates of all 4 atoms:
Mn1 0.000 0.143 0.914
Mn2 0.000 0.357 0.586
Ca1 0.500 0.250 0.250
Ir1 0.500 0.750 0.750

Computed properties:
The final energy is -6.890 eV/atom. The calculation puts the formation energy at 1.64 eV/f.u. The value obtained for the density of states at the Fermi level is 1.187 states/eV per atom.

=====

A plane-wave DFT calculation with PBE was carried out for crystalline Ca2MnIr2 at its relaxed geometry.

Cell lengths 5.605, 5.605, 7.808 Å; angles 79.96, 79.96, 61.60 degrees
Last column: magnetic moment on the atom in μB.
Fractional coordinates of all 10 atoms:
Mn1 0.095 0.905 0.250  3.38
Mn2 0.905 0.095 0.750  3.38
Ca1 0.217 0.486 0.646  0.00
Ca2 0.783 0.514 0.354  0.00
Ca3 0.514 0.783 0.854  0.00
Ca4 0.486 0.217 0.146  0.00
Ir1 0.996 0.273 0.997  0.03
Ir2 0.273 0.996 0.497  0.03
Ir3 0.004 0.727 0.003  0.03
Ir4 0.727 0.004 0.503  0.03

Computed properties:
The final energy is -6.467 eV/atom. The calculation puts the formation energy at -1.44 eV/f.u. The value obtained for the density of states at the Fermi level is 0.846 states/eV per atom.